No. 1
! MoN GGA-PBE optimized geometry; values from VASP
! V: 11.3 Å³/atom
! Total moment: 0.000 Bohr magnetons per cell
! Formation energy without anion corrections: -0.208 eV/atom
&SYSTEM
  ibrav = 0, nat = 12, ntyp = 2
/
ATOMIC_SPECIES
Mo 95.94 Mo.upf
N 14.01 N.upf
ATOMIC_POSITIONS crystal
Mo 0.000 0.000 0.617
Mo 0.208 0.500 0.215
Mo 0.708 0.000 0.715
N 0.139 0.500 0.819
Mo 0.292 0.000 0.715
N 0.500 0.000 0.818
Mo 0.500 0.500 0.117
N 0.639 0.000 0.319
N 0.361 0.000 0.319
N 0.861 0.500 0.819
N 0.000 0.500 0.318
Mo 0.792 0.500 0.215
CELL_PARAMETERS angstrom
9.683 0.000 0.000
0.000 2.819 0.000
0.000 0.000 4.958


No. 2
! LiCaTbIn GGA-PBE optimized geometry; values from VASP
! ΔE_f: -0.270 eV/atom
! V: 27.2 Å³/atom
! Total moment: 0.000 Bohr magnetons per cell
&SYSTEM
  ibrav = 0, nat = 4, ntyp = 4
/
ATOMIC_SPECIES
Tb 158.93 Tb.upf
Li 6.94 Li.upf
In 114.82 In.upf
Ca 40.08 Ca.upf
ATOMIC_POSITIONS crystal
Tb 0.750 0.750 0.750
Li 0.000 0.000 0.000
In 0.500 0.500 0.500
Ca 0.250 0.250 0.250
CELL_PARAMETERS angstrom
-1.068 -2.201 4.769
-4.502 -2.823 0.701
0.240 -5.319 0.610


No. 3
! ZrRh2Se GGA-PBE optimized geometry; values from VASP
! V: 17.8 Å³/atom
! Total moment: 0.000 Bohr magnetons per cell
! Formation energy without anion corrections: -0.214 eV/atom
&SYSTEM
  ibrav = 0, nat = 4, ntyp = 3
/
ATOMIC_SPECIES
Rh 102.91 Rh.upf
Se 78.96 Se.upf
Zr 91.22 Zr.upf
ATOMIC_POSITIONS crystal
Rh 0.500 0.500 0.500
Se 0.250 0.250 0.250
Rh 0.000 0.000 0.000
Zr 0.750 0.750 0.750
CELL_PARAMETERS angstrom
-4.633 -1.110 6.716
-5.952 -3.216 4.695
-3.339 -4.019 6.364


No. 4
! NdTh2Zn3 GGA-PBE optimized geometry; values from VASP
! ΔE_f: -0.212 eV/atom
! V: 24.7 Å³/atom
! Total moment: 0.000 Bohr magnetons per cell
&SYSTEM
  ibrav = 0, nat = 6, ntyp = 3
/
ATOMIC_SPECIES
Zn 65.41 Zn.upf
Th 232.04 Th.upf
Nd 144.24 Nd.upf
ATOMIC_POSITIONS crystal
Zn 0.667 0.333 0.835
Zn 0.333 0.667 0.165
Th 0.333 0.667 0.663
Zn 0.000 0.000 0.500
Nd 0.000 0.000 0.000
Th 0.667 0.333 0.337
CELL_PARAMETERS angstrom
5.187 0.000 0.000
-2.593 4.492 0.000
0.000 0.000 6.369


No. 5
! CaTaCu2Rh GGA-PBE optimized geometry; values from VASP
! ΔE_f: 2.031 eV/atom
! V: 19.7 Å³/atom
! Total moment: 1.454 Bohr magnetons per cell
&SYSTEM
  ibrav = 0, nat = 5, ntyp = 4
/
ATOMIC_SPECIES
Ca 40.08 Ca.upf
Cu 63.55 Cu.upf
Ta 180.95 Ta.upf
Rh 102.91 Rh.upf
ATOMIC_POSITIONS crystal
Ca 0.000 0.000 0.000
Cu 0.500 0.000 0.000
Ta 0.000 0.500 0.000
Rh 0.500 0.500 0.500
Cu 0.000 0.000 0.500
CELL_PARAMETERS angstrom
-0.696 4.396 -0.180
-4.892 -0.775 -0.009
-0.037 0.177 4.451


No. 6
! TlGa2Sn GGA-PBE optimized geometry; values from VASP
! ΔE_f: 0.054 eV/atom
! V: 25.3 Å³/atom
! Total moment: 0.000 Bohr magnetons per cell
&SYSTEM
  ibrav = 0, nat = 8, ntyp = 3
/
ATOMIC_SPECIES
Tl 204.38 Tl.upf
Sn 118.71 Sn.upf
Ga 69.72 Ga.upf
ATOMIC_POSITIONS crystal
Tl 0.348 0.697 0.830
Sn 0.189 0.377 0.319
Ga 0.781 0.563 0.528
Tl 0.456 0.911 0.247
Ga 0.058 0.116 0.976
Sn 0.013 0.026 0.582
Ga 0.629 0.258 0.764
Ga 0.730 0.459 0.071
CELL_PARAMETERS angstrom
4.146 0.000 0.000
-2.073 6.075 -0.327
0.000 0.314 8.027


No. 7
! GaAsIrBr2 GGA-PBE optimized geometry; values from VASP
! V: 27.4 Å³/atom
! Total moment: 0.000 Bohr magnetons per cell
! Formation energy without anion corrections: 0.165 eV/atom
&SYSTEM
  ibrav = 0, nat = 5, ntyp = 4
/
ATOMIC_SPECIES
Ga 69.72 Ga.upf
As 74.92 As.upf
Ir 192.22 Ir.upf
Br 79.90 Br.upf
ATOMIC_POSITIONS crystal
Ga 0.500 0.500 0.500
As 0.000 0.000 0.500
Ir 0.000 0.000 0.000
Br 0.500 0.000 0.000
Br 0.000 0.500 0.000
CELL_PARAMETERS angstrom
-0.682 0.262 5.416
-5.353 -0.904 -0.631
0.727 -4.526 0.310


No. 8
! Y2TiPdO GGA-PBE optimized geometry; values from VASP
! V: 18.8 Å³/atom
! Total moment: 1.299 Bohr magnetons per cell
! Formation energy without anion corrections: -1.373 eV/atom
&SYSTEM
  ibrav = 0, nat = 5, ntyp = 4
/
ATOMIC_SPECIES
Y 88.91 Y.upf
Pd 106.42 Pd.upf
O 16.00 O.upf
Ti 47.87 Ti.upf
ATOMIC_POSITIONS crystal
Y 0.500 0.000 0.000
Y 0.000 0.500 0.000
Pd 0.500 0.500 0.500
O 0.000 0.000 0.000
Ti 0.000 0.000 0.500
CELL_PARAMETERS angstrom
-2.674 2.344 3.331
0.360 -3.833 2.986
3.293 1.529 1.566


No. 9
! AcCeNd2P4 GGA-PBE optimized geometry; values from VASP
! ΔE_f: -1.485 eV/atom
! V: 26.6 Å³/atom
! Total moment: 0.572 Bohr magnetons per cell
&SYSTEM
  ibrav = 0, nat = 8, ntyp = 4
/
ATOMIC_SPECIES
P 30.97 P.upf
Nd 144.24 Nd.upf
Ce 140.12 Ce.upf
Ac 227.00 Ac.upf
ATOMIC_POSITIONS crystal
P 0.500 0.750 0.260
Nd 0.500 0.000 0.500
Ce 0.000 0.500 0.500
P 0.000 0.756 0.737
Ac 0.500 0.500 0.000
P 0.000 0.244 0.263
Nd 0.000 0.000 0.000
P 0.500 0.250 0.740
CELL_PARAMETERS angstrom
4.222 0.000 0.000
0.000 7.310 -0.150
0.000 2.567 6.855


No. 10
! Pr4SmEr3S8 GGA-PBE optimized geometry; values from VASP
! V: 22.7 Å³/atom
! Total moment: 0.000 Bohr magnetons per cell
! Formation energy without anion corrections: -2.000 eV/atom
&SYSTEM
  ibrav = 0, nat = 16, ntyp = 4
/
ATOMIC_SPECIES
S 32.06 S.upf
Sm 150.36 Sm.upf
Pr 140.91 Pr.upf
Er 167.26 Er.upf
ATOMIC_POSITIONS crystal
S 0.263 0.270 0.016
S 0.753 0.270 0.016
S 0.247 0.730 0.984
S 0.258 0.274 0.516
Sm 0.000 0.500 0.000
Pr 0.000 0.000 0.500
S 0.753 0.270 0.506
Pr 0.000 0.000 0.000
S 0.247 0.730 0.494
Pr 0.500 0.000 0.500
S 0.742 0.726 0.484
Er 0.000 0.500 0.500
S 0.737 0.730 0.984
Er 0.500 0.500 0.500
Er 0.500 0.500 0.000
Pr 0.500 0.000 0.000
CELL_PARAMETERS angstrom
-6.078 1.150 -4.953
2.552 -6.189 -4.568
-1.348 -1.180 7.720


No. 11
! Ac2RuI GGA-PBE optimized geometry; values from VASP
! V: 31.4 Å³/atom
! Total moment: 0.223 Bohr magnetons per cell
! Formation energy without anion corrections: -0.523 eV/atom
&SYSTEM
  ibrav = 0, nat = 4, ntyp = 3
/
ATOMIC_SPECIES
Ru 101.07 Ru.upf
I 126.90 I.upf
Ac 227.00 Ac.upf
ATOMIC_POSITIONS crystal
Ru 0.500 0.500 0.000
I 0.500 0.500 0.500
Ac 0.000 0.000 0.799
Ac 0.000 0.000 0.201
CELL_PARAMETERS angstrom
-2.042 -2.498 -1.910
2.896 -2.380 0.016
-2.914 -3.493 7.685


No. 12
! ZrAgSb2 GGA-PBE optimized geometry; values from VASP
! V: 24.7 Å³/atom
! Total moment: 0.000 Bohr magnetons per cell
! Formation energy without anion corrections: -0.097 eV/atom
&SYSTEM
  ibrav = 0, nat = 4, ntyp = 3
/
ATOMIC_SPECIES
Sb 121.76 Sb.upf
Ag 107.87 Ag.upf
Zr 91.22 Zr.upf
ATOMIC_POSITIONS crystal
Sb 0.500 0.500 0.299
Ag 0.500 0.500 0.732
Zr 0.000 0.000 0.524
Sb 0.000 0.000 0.945
CELL_PARAMETERS angstrom
3.164 0.068 0.000
-0.052 3.165 0.000
0.000 0.000 9.856


No. 13
! Nb3GaFe GGA-PBE optimized geometry; values from VASP
! ΔE_f: 1.547 eV/atom
! V: 20.6 Å³/atom
! Total moment: 0.508 Bohr magnetons per cell
&SYSTEM
  ibrav = 0, nat = 5, ntyp = 3
/
ATOMIC_SPECIES
Fe 55.84 Fe.upf
Nb 92.91 Nb.upf
Ga 69.72 Ga.upf
ATOMIC_POSITIONS crystal
Fe 0.500 0.500 0.500
Nb 0.500 0.000 0.000
Ga 0.000 0.000 0.000
Nb 0.000 0.500 0.000
Nb 0.000 0.000 0.500
CELL_PARAMETERS angstrom
-2.779 -3.442 -1.561
1.643 0.645 -4.346
3.404 -3.121 0.823


No. 14
! Dy4Bi2TeAs GGA-PBE optimized geometry; values from VASP
! V: 29.2 Å³/atom
! Total moment: 0.000 Bohr magnetons per cell
! Formation energy without anion corrections: -1.141 eV/atom
&SYSTEM
  ibrav = 0, nat = 8, ntyp = 4
/
ATOMIC_SPECIES
Te 127.60 Te.upf
Dy 162.50 Dy.upf
As 74.92 As.upf
Bi 208.98 Bi.upf
ATOMIC_POSITIONS crystal
Te 0.500 0.500 0.000
Dy 0.500 0.768 0.767
Dy 0.000 0.761 0.242
As 0.000 0.000 0.000
Dy 0.500 0.232 0.233
Bi 0.000 0.500 0.500
Dy 0.000 0.239 0.758
Bi 0.500 0.000 0.500
CELL_PARAMETERS angstrom
-2.732 0.229 3.368
1.128 -7.332 1.414
5.067 4.081 3.832